Hf3ReB: optimized geometry, PBEsol.

Properties
symmetry: Pm-3m (221)
relative energy among the computed polymorphs: 0 kJ/mol of formula units
formation energy: 0.087 eV per atom
N(E_F): 3.64 states/eV/f.u.

Lattice parameters (Å, degrees): 4.4445 4.4445 4.4445 90.00 90.00 90.00
Closest atoms and distances in Å follow each position.
Sites, in units of the cell vectors:
B1 0.0000 0.0000 0.0000  6 Hf 2.22
Hf1 0.0000 0.0000 0.5000  2 B 2.22
Hf2 0.0000 0.5000 0.0000  2 B 2.22
Hf3 0.5000 0.0000 0.0000  2 B 2.22
Re1 0.5000 0.5000 0.5000  12 Hf 3.14

HfReSiB2: optimized geometry, PBEsol.

Properties
symmetry: P4/mmm (123)
uncorrected formation energy: 1.00 eV per atom
N(E_F): 3.95 states/eV/f.u.

Lattice parameters (Å, degrees): 4.0402 4.0402 5.2118 90.00 90.00 90.00
Closest atoms and distances in Å follow each position.
Sites, in units of the cell vectors:
Hf1 0.0000 0.0000 0.5000  2 Re 2.61, 4 Si 2.86
Si1 0.5000 0.5000 0.5000  4 Hf 2.86
B1 0.5000 0.0000 0.0000  2 Re 2.02
B2 0.0000 0.5000 0.0000  2 Re 2.02
Re1 0.0000 0.0000 0.0000  4 B 2.02

Number 1: magnetic moment 0.00 Bohr magnetons per cell. Number 2: magnetic moment 0.00 Bohr magnetons per cell.